(1)
Below is a relaxed LaScN3 crystal, with properties calculated at the PBEsol level.

Calculated values
The value obtained for the total moment is 1.34 μB/f.u.

The structure in CIF format:
```
data_LaScN3
_symmetry_space_group_name_H-M 'P m -3 m'
_symmetry_Int_Tables_number 221
_symmetry_space_group_name_Hall '-P 4 2 3'
_cell_length_a 4.099
_cell_length_b 4.099
_cell_length_c 4.099
_cell_angle_alpha 90.00
_cell_angle_beta 90.00
_cell_angle_gamma 90.00
loop_
_atom_site_label
_atom_site_fract_x
_atom_site_fract_y
_atom_site_fract_z
_atom_site_occupancy
La1 0.000 0.000 0.000 1
Sc1 0.500 0.500 0.500 1
N1 0.000 0.500 0.500 1
```

***

(2)
Below is a relaxed La4Se3N2 crystal, with properties calculated at the PBEsol level.

Calculated values
The value obtained for the total moment is 0.00 μB/f.u.

The structure in CIF format:
```
data_La4Se3N2
_symmetry_space_group_name_H-M 'C 1 2/c 1'
_symmetry_Int_Tables_number 15
_cell_length_a 13.243
_cell_length_b 10.244
_cell_length_c 6.501
_cell_angle_alpha 90.00
_cell_angle_beta 90.26
_cell_angle_gamma 90.00
loop_
_symmetry_equiv_pos_as_xyz
'x,y,z'
'-x,-y,-z'
'-x,y,-z+1/2'
'x,-y,z+1/2'
'x+1/2,y+1/2,z'
'-x+1/2,-y+1/2,-z'
'-x+1/2,y+1/2,-z+1/2'
'x+1/2,-y+1/2,z+1/2'
loop_
_atom_site_label
_atom_site_fract_x
_atom_site_fract_y
_atom_site_fract_z
_atom_site_occupancy
La1 0.125 0.181 0.470 1
La2 0.165 0.422 0.927 1
Se1 0.000 0.402 0.250 1
Se2 0.116 0.130 0.966 1
N1 0.206 0.374 0.584 1
```

***

(3)
Below is a relaxed SrLaSeN2 crystal, with properties calculated at the PBEsol level.

Calculated values
The value obtained for the total moment is 0.74 μB/f.u.

The structure in CIF format:
```
data_SrLaSeN2
_symmetry_space_group_name_H-M 'P 4/m m m'
_symmetry_Int_Tables_number 123
_symmetry_space_group_name_Hall '-P 4 2'
_cell_length_a 4.405
_cell_length_b 4.405
_cell_length_c 5.621
_cell_angle_alpha 90.00
_cell_angle_beta 90.00
_cell_angle_gamma 90.00
loop_
_atom_site_label
_atom_site_fract_x
_atom_site_fract_y
_atom_site_fract_z
_atom_site_occupancy
Sr1 0.000 0.000 0.000 1
La1 0.500 0.500 0.500 1
Se1 0.000 0.000 0.500 1
N1 0.000 0.500 0.000 1
```

***

What did we get for ΔE_f (raw)? Answer: -0.5561; -1.9049; 0.2998 eV per atom, in the order shown.
What did we get for uncorrected energy? Answer: -40.31; -268.53; -26.59 eV/cell, in the order shown.